[1]
# LiCaI3 (PBE-GGA, optimized geometry)
data_LiCaI3
_chemical_formula_sum 'Li1 Ca1 I3'
_symmetry_space_group_name_H-M 'P m -3 m'
_symmetry_Int_Tables_number 221
_symmetry_space_group_name_Hall '-P 4 2 3'
_cell_length_a 6.135
_cell_length_b 6.135
_cell_length_c 6.135
_cell_angle_alpha 90.00
_cell_angle_beta 90.00
_cell_angle_gamma 90.00
loop_
_atom_site_label
_atom_site_fract_x
_atom_site_fract_y
_atom_site_fract_z
Li1 0.000 0.000 0.000
Ca1 0.500 0.500 0.500
I1 0.000 0.500 0.500
# Energy relative to the elements, uncorrected, eV/atom: -1.131


[2]
# LiCaI2 (PBE-GGA, optimized geometry)
data_LiCaI2
_chemical_formula_sum 'Li4 Ca4 I8'
_symmetry_space_group_name_H-M 'F m -3 m'
_symmetry_Int_Tables_number 225
_symmetry_space_group_name_Hall '-F 4 2 3'
_cell_length_a 7.835
_cell_length_b 7.835
_cell_length_c 7.835
_cell_angle_alpha 90.00
_cell_angle_beta 90.00
_cell_angle_gamma 90.00
loop_
_atom_site_label
_atom_site_fract_x
_atom_site_fract_y
_atom_site_fract_z
Li1 0.000 0.000 0.000
Ca1 0.000 0.000 0.500
I1 0.250 0.250 0.250
# Energy relative to the elements, uncorrected, eV/atom: -0.883
# E above lowest polymorph, meV/atom: 123.0